1.
Tb6BiAs3P2 (GGA-PBE, relaxed); space group = C2/m; size of the total moment = 0.0 μB per formula unit; energy of formation from the pure elements = -1639.6 kJ/mol of formula units
1.0
-1.4261 -3.8469 -0.6034
7.8247 -2.7314 -1.0800
-0.5525 0.9938 9.2205
Tb As Bi P
6 3 1 2
direct
0.3254 0.9055 0.6508
0.0040 0.2691 0.0080
0.6746 0.0945 0.3492
0.3303 0.4202 0.6606
0.9960 0.7309 0.9920
0.6697 0.5798 0.3394
0.5000 0.5000 0.0000
0.1641 0.8316 0.3282
0.8359 0.1684 0.6718
0.5000 0.0000 0.0000
0.1683 0.3363 0.3365
0.8317 0.6637 0.6635

---

2.
Be2TcPt (GGA-PBE, relaxed); space group = F-43m; size of the total moment = 0.2 μB per formula unit; energy of formation from the pure elements = 36.3 kJ/mol of formula units
1.0
-3.1277 -0.9401 -2.5403
-2.0167 -3.5858 0.4404
-3.8848 -0.0274 1.4237
Be Tc Pt
2 1 1
direct
0.2500 0.2500 0.2500
0.0000 0.0000 0.0000
0.7500 0.7500 0.7500
0.5000 0.5000 0.5000

---

3.
MgBeS2Cl (GGA-PBE, relaxed); space group = P4/mmm; size of the total moment = 0.0 μB per formula unit; raw formation energy = 0.30 eV/atom
1.0
-4.4260 1.9294 -0.4333
-1.5269 -2.6597 3.7543
1.2083 3.4277 2.9197
Mg S Be Cl
1 2 1 1
direct
0.0000 0.0000 0.0000
0.0000 0.5000 0.0000
0.5000 0.0000 0.0000
0.5000 0.5000 0.5000
0.0000 0.0000 0.5000

---

4.
SrSnSb (GGA-PBE, relaxed); space group = P3m1; size of the total moment = 0.0 μB per formula unit; raw formation energy = -0.51 eV/atom
1.0
4.3843 0.0000 0.0000
0.0000 5.1628 0.0000
0.0000 -2.5814 4.4711
Sn Sr Sb
1 1 1
direct
0.1680 0.6667 0.3333
0.6666 0.3333 0.6667
0.1655 0.0000 0.0000

---

Look up the size of the total moment of the third one.
0.0 μB per formula unit

---

Look up the size of the total moment of the fourth one.
0.0 μB per formula unit